Record 1
This record from the Alexandria database describes a relaxed Er2PuHf3N6 crystal. The functional is PBE.

Geometry as POSCAR:
```
Er2PuHf3N6
1.0
3.299 0.000 0.000
0.000 6.666 0.189
-1.650 -1.974 6.985
Er N Hf Pu
2 6 3 1
Direct
0.833 0.666 0.666
0.167 0.334 0.334
0.005 0.734 0.010
0.995 0.266 0.990
0.327 0.927 0.653
0.337 0.405 0.674
0.663 0.595 0.326
0.673 0.073 0.347
0.500 0.500 0.000
0.167 0.833 0.334
0.833 0.167 0.666
0.500 0.000 0.000
```

Values from the calculation:
Formation energy without anion corrections in eV per formula unit: -20.9
DOS at the Fermi energy in states/eV per cell: 8.241
Uncorrected energy in eV/atom: -10.35

***

Record 2
This record from the Alexandria database describes a relaxed FeCoMo crystal. The functional is PBE.

Geometry as POSCAR:
```
FeCoMo
1.0
4.528 0.002 0.002
2.302 3.899 -0.002
-3.062 -2.569 2.128
Mo Fe Co
1 1 1
Direct
0.334 0.334 0.000
0.659 0.659 0.000
0.006 0.006 0.000
```

Values from the calculation:
DOS at the Fermi energy in states/eV per cell: 3.432
DFT formation energy in eV per atom: 0.10
Uncorrected energy in eV/atom: -8.70